The following is a GGA-PBE calculation of AgHg3N after structural relaxation, from Alexandria via LeMat-Bulk.

Properties
The formation energy without anion corrections comes out at 1.102 eV per atom. The total moment comes out at 2.6 Bohr magnetons per cell. The total energy comes out at -1.314 eV/atom. The energy relative to the lowest polymorph listed for this composition is 235.4 meV/atom.

extended XYZ file:
```
5
Lattice="-1.412 -3.753 -3.846 -0.927 -3.747 3.996 -5.293 1.658 0.326" Properties=species:S:1:pos:R:3 pbc="T T T"
Hg -0.464 -1.874 1.998
Hg -2.646 0.829 0.163
Hg -0.706 -1.876 -1.923
Ag 0.000 0.000 0.000
N -3.816 -2.921 0.238
```